This record from the Alexandria database describes a relaxed structure of GaNiPd3. The functional is PBE-GGA.

Values from the calculation:
Final energy   -4.287 eV per atom
ΔE to the lowest computed polymorph   4.50 eV/f.u.
SG   No. 221
Energy relative to the elements   13.624 kcal/mol of atoms

abc: 4.588 4.588 4.588
angles: 90.00 90.00 90.00
Fractional coordinates of all 5 atoms:
Ni 0.500 0.500 0.500
Ga 0.000 0.000 0.000
Pd 0.000 0.500 0.000
Pd 0.000 0.000 0.500
Pd 0.500 0.000 0.000